No. 1
Crystalline GaHSeN2 at its relaxed geometry. Source: the Alexandria database, functional GGA-PBE.

Results
- Relative energy among the computed polymorphs: 0 meV per atom

Cell lengths 3.7852, 3.7852, 5.7097 Å; angles 90.00, 90.00, 90.00 degrees
Closest atoms and distances in Å follow each position.
Fractional positions:
Ga: 0.0000 0.0000 0.0000  4 N 1.89
H: 0.5000 0.5000 0.5000  4 Se 2.68
Se: 0.0000 0.0000 0.5000  4 H 2.68, 2 Ga 2.85
N: 0.0000 0.5000 0.0000  2 Ga 1.89
N: 0.5000 0.0000 0.0000  2 Ga 1.89

No. 2
Crystalline CuTcF2 at its relaxed geometry. Source: the Alexandria database, functional GGA-PBE.

Results
- Relative energy among the computed polymorphs: 608 meV per atom
- Uncorrected formation energy: -0.205 eV/atom

Cell lengths 4.1745, 4.1745, 4.1745 Å; angles 60.00, 60.00, 60.00 degrees
Closest atoms and distances in Å follow each position.
Fractional positions:
Cu: 0.0000 0.0000 0.0000  8 F 2.56
Tc: 0.5000 0.5000 0.5000  8 F 2.56
F: 0.2500 0.2500 0.2500  4 Tc 2.56, 4 Cu 2.56
F: 0.7500 0.7500 0.7500  4 Cu 2.56, 4 Tc 2.56

No. 3
Crystalline Hf2CrHW at its relaxed geometry. Source: the Alexandria database, functional GGA-PBE.

Results
- E_tot: -9.141 eV/atom

Cell lengths 4.6250, 4.6250, 3.4262 Å; angles 90.00, 90.00, 90.00 degrees
Closest atoms and distances in Å follow each position.
Fractional positions:
Hf: 0.0000 0.5000 0.0000  2 H 2.31
Hf: 0.5000 0.0000 0.0000  2 H 2.31
Cr: 0.0000 0.0000 0.5000  2 H 1.71
H: 0.0000 0.0000 0.0000  2 Cr 1.71
W: 0.5000 0.5000 0.5000  8 Hf 2.88

No. 4
Crystalline KIrSe2 at its relaxed geometry. Source: the Alexandria database, functional GGA-PBE.

Results
- Uncorrected formation energy: -0.504 eV/atom

Cell lengths 8.3120, 8.3120, 6.5585 Å; angles 90.00, 90.00, 153.41 degrees
Closest atoms and distances in Å follow each position.
Fractional positions:
K: 0.0804 0.9196 0.5000  7 Se 3.28-3.52, 1 Ir 3.50
K: 0.9196 0.0804 0.0000  7 Se 3.28-3.52, 1 Ir 3.50
Ir: 0.1806 0.8194 0.0277  5 Se 2.45-2.53
Ir: 0.8194 0.1806 0.5277  5 Se 2.45-2.53
Se: 0.2756 0.7244 0.7358  3 Ir 2.45-2.46
Se: 0.4089 0.5911 0.4053  2 Ir 2.53
Se: 0.5911 0.4089 0.9053  2 Ir 2.53
Se: 0.7244 0.2756 0.2358  3 Ir 2.45-2.46

No. 5
Crystalline FeNiHg2 at its relaxed geometry. Source: the Alexandria database, functional GGA-PBE.

Results
- Relative energy among the computed polymorphs: 193 meV per atom

Cell lengths 4.9988, 4.9988, 4.9988 Å; angles 132.67, 132.67, 69.18 degrees
Closest atoms and distances in Å follow each position.
Fractional positions:
Fe: 0.0000 0.0000 0.0000  8 Hg 2.84-2.87, 4 Ni 2.87
Ni: 0.7500 0.2500 0.5000  8 Hg 2.84-2.87, 4 Fe 2.87
Hg: 0.2500 0.7500 0.5000  4 Ni 2.84, 4 Hg 2.87, 4 Fe 2.87
Hg: 0.5000 0.5000 0.0000  4 Fe 2.84, 4 Hg 2.87, 4 Ni 2.87

No. 6
Crystalline TaCrBi2 at its relaxed geometry. Source: the Alexandria database, functional GGA-PBE.

Results
- Relative energy among the computed polymorphs: 234 meV per atom

Cell lengths 7.8370, 7.8370, 7.8370 Å; angles 130.40, 130.40, 72.77 degrees
Closest atoms and distances in Å follow each position.
Fractional positions:
Ta: 0.0000 0.0000 0.0000  4 Bi 2.78
Ta: 0.7500 0.2500 0.5000  4 Bi 2.78
Cr: 0.2500 0.7500 0.5000  4 Bi 2.84
Cr: 0.5000 0.5000 0.0000  4 Bi 2.84
Bi: 0.1181 0.6250 0.9931  2 Ta 2.78, 2 Cr 2.84
Bi: 0.3750 0.3681 0.4931  2 Ta 2.78, 2 Cr 2.84
Bi: 0.6319 0.1250 0.0069  2 Ta 2.78, 2 Cr 2.84
Bi: 0.8750 0.8819 0.5069  2 Ta 2.78, 2 Cr 2.84

No. 7
Crystalline PaZn2PbO6 at its relaxed geometry. Source: the Alexandria database, functional GGA-PBE.

Results
- Uncorrected formation energy: -1.976 eV/atom

Cell lengths 7.1703, 7.1703, 5.8716 Å; angles 97.09, 97.09, 88.34 degrees
Closest atoms and distances in Å follow each position.
Fractional positions:
Pa: 0.2102 0.7898 0.7500  6 O 2.15-2.38
Pa: 0.7898 0.2102 0.2500  6 O 2.15-2.38
Zn: 0.1024 0.2777 0.8110  4 O 1.99-2.01
Zn: 0.2777 0.1024 0.3110  4 O 1.99-2.01
Zn: 0.7223 0.8976 0.6890  4 O 1.99-2.01
Zn: 0.8976 0.7223 0.1890  4 O 1.99-2.01
Pb: 0.4045 0.5955 0.2500  6 O 2.34-2.44
Pb: 0.5955 0.4045 0.7500  6 O 2.34-2.44
O: 0.0592 0.2127 0.1225  2 Zn 2.00-2.01, 1 Pa 2.16
O: 0.1216 0.6616 0.4049  1 Zn 1.99, 1 Pa 2.15
O: 0.2127 0.0592 0.6225  2 Zn 2.00-2.01, 1 Pa 2.16
O: 0.2855 0.4880 0.8668  1 Zn 2.00
O: 0.3384 0.8784 0.0951  1 Zn 1.99, 1 Pa 2.15
O: 0.4880 0.2855 0.3668  1 Zn 2.00
O: 0.5120 0.7145 0.6332  1 Zn 2.00
O: 0.6616 0.1216 0.9049  1 Zn 1.99, 1 Pa 2.15
O: 0.7145 0.5120 0.1332  1 Zn 2.00
O: 0.7873 0.9408 0.3775  2 Zn 2.00-2.01, 1 Pa 2.16
O: 0.8784 0.3384 0.5951  1 Zn 1.99, 1 Pa 2.15
O: 0.9408 0.7873 0.8775  2 Zn 2.00-2.01, 1 Pa 2.16

No. 8
Crystalline ErGeSb at its relaxed geometry. Source: the Alexandria database, functional GGA-PBE.

Results
- Uncorrected formation energy: -0.670 eV/atom

Cell lengths 8.3445, 8.3445, 4.0833 Å; angles 90.00, 90.00, 149.91 degrees
Closest atoms and distances in Å follow each position.
Fractional positions:
Er: 0.0980 0.9020 0.7500  6 Ge 3.07-3.25, 4 Sb 3.21-3.25
Er: 0.9020 0.0980 0.2500  6 Ge 3.07-3.25, 4 Sb 3.21-3.25
Ge: 0.4476 0.5524 0.7500  2 Ge 2.65
Ge: 0.5524 0.4476 0.2500  2 Ge 2.65
Sb: 0.2517 0.7483 0.2500  4 Sb 2.98, 4 Er 3.21-3.25
Sb: 0.7483 0.2517 0.7500  4 Sb 2.98, 4 Er 3.21-3.25

No. 9
Crystalline Ac2TmScTe5 at its relaxed geometry. Source: the Alexandria database, functional GGA-PBE.

Results
- Uncorrected formation energy: -1.361 eV/atom

Cell lengths 9.6116, 9.6116, 14.3114 Å; angles 90.00, 90.00, 153.27 degrees
Closest atoms and distances in Å follow each position.
Fractional positions:
Ac: 0.1045 0.8955 0.5000  8 Te 3.29-3.65
Ac: 0.1430 0.8570 0.1247  7 Te 3.33-3.51
Ac: 0.8570 0.1430 0.6247  7 Te 3.33-3.51
Ac: 0.8955 0.1045 0.0000  8 Te 3.29-3.65
Tm: 0.2057 0.7943 0.8266  6 Te 2.95-3.11
Tm: 0.7943 0.2057 0.3266  6 Te 2.95-3.11
Sc: 0.4712 0.5288 0.2666  5 Te 2.79-3.05
Sc: 0.5288 0.4712 0.7666  5 Te 2.79-3.05
Te: 0.0540 0.9460 0.8837  2 Sc 2.82, 1 Tm 2.95
Te: 0.2795 0.7205 0.4745  2 Tm 3.08, 3 Ac 3.29-3.41
Te: 0.3226 0.6774 0.1788  1 Sc 3.05, 2 Tm 3.11
Te: 0.3701 0.6299 0.8135  1 Sc 3.04, 1 Tm 3.08
Te: 0.4854 0.5146 0.5804  1 Sc 2.79
Te: 0.5146 0.4854 0.0804  1 Sc 2.79
Te: 0.6299 0.3701 0.3135  1 Sc 3.04, 1 Tm 3.08
Te: 0.6774 0.3226 0.6788  1 Sc 3.05, 2 Tm 3.11
Te: 0.7205 0.2795 0.9745  2 Tm 3.08, 3 Ac 3.29-3.41
Te: 0.9460 0.0540 0.3837  2 Sc 2.82, 1 Tm 2.95

No. 10
Crystalline CuW2Br at its relaxed geometry. Source: the Alexandria database, functional GGA-PBE.

Results
- Relative energy among the computed polymorphs: 762 meV per atom
- Uncorrected formation energy: 1.289 eV/atom

Cell lengths 5.3882, 5.3882, 5.3882 Å; angles 138.82, 138.82, 59.65 degrees
Closest atoms and distances in Å follow each position.
Fractional positions:
Cu: 0.0000 0.0000 0.0000  4 Br 2.68
W: 0.2500 0.7500 0.5000  4 W 2.68
W: 0.7500 0.2500 0.5000  4 W 2.68
Br: 0.5000 0.5000 0.0000  4 Cu 2.68

No. 11
Crystalline La2PmHgSe5 at its relaxed geometry. Source: the Alexandria database, functional GGA-PBE.

Results
- Uncorrected formation energy: -1.561 eV/atom

Cell lengths 9.1847, 9.1847, 12.9344 Å; angles 90.00, 90.00, 153.47 degrees
Closest atoms and distances in Å follow each position.
Fractional positions:
La: 0.1211 0.8789 0.5000  8 Se 3.08-3.25
La: 0.1309 0.8691 0.1211  8 Se 3.10-3.28
La: 0.8691 0.1309 0.6211  8 Se 3.10-3.28
La: 0.8789 0.1211 0.0000  8 Se 3.08-3.25
Pm: 0.1949 0.8051 0.8193  6 Se 2.91-2.98
Pm: 0.8051 0.1949 0.3193  6 Se 2.91-2.98
Hg: 0.4587 0.5413 0.2809  3 Se 2.61-2.67
Hg: 0.5413 0.4587 0.7809  3 Se 2.61-2.67
Se: 0.0408 0.9592 0.9070  2 Hg 2.67, 1 Pm 2.98
Se: 0.2927 0.7073 0.4805  2 Pm 2.97, 3 La 3.08-3.10
Se: 0.3062 0.6938 0.1559  2 Pm 2.98, 3 La 3.17-3.19, 1 Hg 3.17
Se: 0.3575 0.6425 0.8152  1 Pm 2.91, 2 La 3.21
Se: 0.4983 0.5017 0.5878  1 Hg 2.61
Se: 0.5017 0.4983 0.0878  1 Hg 2.61
Se: 0.6425 0.3575 0.3152  1 Pm 2.91, 2 La 3.21
Se: 0.6938 0.3062 0.6559  2 Pm 2.98, 3 La 3.17-3.19, 1 Hg 3.17
Se: 0.7073 0.2927 0.9805  2 Pm 2.97, 3 La 3.08-3.10
Se: 0.9592 0.0408 0.4070  2 Hg 2.67, 1 Pm 2.98

No. 12
Crystalline PmCd11Sn at its relaxed geometry. Source: the Alexandria database, functional GGA-PBE.

Results
- E_tot: -1.515 eV/atom

Cell lengths 7.7271, 7.7271, 7.5957 Å; angles 99.81, 99.81, 131.31 degrees
Closest atoms and distances in Å follow each position.
Fractional positions:
Pm: 0.0000 0.0000 0.0000  14 Cd 3.47-3.86, 2 Sn 3.80
Cd: 0.0000 0.5000 0.0000  10 Cd 2.90-3.19
Cd: 0.0058 0.3588 0.3492  6 Cd 2.94-3.19, 1 Sn 3.15
Cd: 0.3005 0.5160 0.7888  7 Cd 2.90-3.19, 1 Sn 3.03
Cd: 0.3588 0.0058 0.3492  6 Cd 2.94-3.19, 1 Sn 3.15
Cd: 0.4840 0.6995 0.2112  7 Cd 2.90-3.19, 1 Sn 3.03
Cd: 0.5000 0.0000 0.0000  10 Cd 2.90-3.19
Cd: 0.5000 0.5000 0.5000  8 Cd 2.92-3.11, 2 Sn 3.19
Cd: 0.5160 0.3005 0.7888  7 Cd 2.90-3.19, 1 Sn 3.03
Cd: 0.6412 0.9942 0.6508  6 Cd 2.94-3.19, 1 Sn 3.15
Cd: 0.6995 0.4840 0.2112  7 Cd 2.90-3.19, 1 Sn 3.03
Cd: 0.9942 0.6412 0.6508  6 Cd 2.94-3.19, 1 Sn 3.15
Sn: 0.0000 0.0000 0.5000  10 Cd 3.03-3.19